[1]
First-principles (GGA-PBE) data for a relaxed structure of K2RuPb, as listed in Alexandria.

Unit cell a=5.305 b=5.305 c=7.487 alpha=90.00 beta=90.00 gamma=90.00
Space group I-4m2 (No. 119)
Asymmetric unit:
K: 0.000 0.000 0.000 [2 per cell]
K: 0.000 0.500 0.250 [2 per cell]
Ru: 0.000 0.500 0.750 [2 per cell]
Pb: 0.000 0.000 0.500 [2 per cell]

Results
total magnetization	0.000	μB/atom
DOS(E_F)	0.66	states/eV per atom
energy	-3.057	eV/atom
formation enthalpy at 0 K	0.74	eV/atom

=====

[2]
First-principles (GGA-PBE) data for a relaxed structure of ZnCdPt, as listed in Alexandria.

Unit cell a=2.876 b=4.324 c=4.838 alpha=90.00 beta=90.00 gamma=90.00
Space group Pmmm (No. 47)
Asymmetric unit:
Zn: 0.000 0.000 0.000 [1 per cell]
Cd: 0.000 0.500 0.500 [1 per cell]
Pt: 0.500 0.500 0.000 [1 per cell]

Results
total magnetization	0.000	μB/atom
DOS(E_F)	0.26	states/eV per atom
energy	-3.125	eV/atom
formation enthalpy at 0 K	-0.38	eV/atom

=====

[3]
First-principles (GGA-PBE) data for a relaxed structure of Ga5Hg12Pb3, as listed in Alexandria.

Unit cell a=16.932 b=16.932 c=16.932 alpha=90.00 beta=90.00 gamma=90.00
Space group Ia-3d (No. 230)
Asymmetric unit:
Ga: 0.000 0.000 0.000 [16 per cell]
Ga: 0.000 0.250 0.375 [24 per cell]
Hg: 0.024 0.070 0.650 [96 per cell]
Pb: 0.000 0.250 0.125 [24 per cell]

Results
total magnetization	0.000	μB/atom
DOS(E_F)	0.70	states/eV per atom
energy	-1.331	eV/atom
formation enthalpy at 0 K	0.16	eV/atom

=====

[4]
First-principles (GGA-PBE) data for a relaxed structure of PmNd6Y4, as listed in Alexandria.

Unit cell a=6.826 b=6.826 c=16.751 alpha=90.00 beta=90.00 gamma=90.00
Space group I-42m (No. 121)
Asymmetric unit:
Pm: 0.000 0.000 0.000 [2 per cell]
Nd: 0.000 0.500 0.000 [4 per cell]
Nd: 0.190 0.190 0.176 [8 per cell]
Y: 0.176 0.176 0.381 [8 per cell]

Results
total magnetization	0.000	μB/atom
E above lowest polymorph	0.354	eV per formula unit
DOS(E_F)	1.51	states/eV per atom
energy	-5.071	eV/atom
formation enthalpy at 0 K	0.31	eV/atom

=====

[5]
First-principles (GGA-PBE) data for a relaxed structure of TlRe2Mo, as listed in Alexandria.

Unit cell a=3.170 b=4.539 c=4.660 alpha=90.00 beta=90.00 gamma=90.00
Space group Pmmm (No. 47)
Asymmetric unit:
Tl: 0.000 0.000 0.000 [1 per cell]
Re: 0.000 0.500 0.500 [1 per cell]
Re: 0.500 0.500 0.000 [1 per cell]
Mo: 0.500 0.000 0.500 [1 per cell]

Results
total magnetization	0.000	μB/atom
E above lowest polymorph	1.655	eV per formula unit
DOS(E_F)	1.04	states/eV per atom
energy	-8.628	eV/atom
formation enthalpy at 0 K	0.90	eV/atom

=====

[6]
First-principles (GGA-PBE) data for a relaxed structure of MnAgSb4, as listed in Alexandria.

Unit cell a=8.730 b=8.730 c=8.730 alpha=90.00 beta=90.00 gamma=90.00
Space group F-43m (No. 216)
Asymmetric unit:
Mn: 0.000 0.000 0.000 [4 per cell]
Ag: 0.250 0.250 0.250 [4 per cell]
Sb: 0.125 0.125 0.625 [16 per cell]

Results
total magnetization	0.846	μB/atom
uncorrected formation energy	0.600	eV/atom
DOS(E_F)	0.25	states/eV per atom
energy	-4.152	eV/atom

=====

[7]
First-principles (GGA-PBE) data for a relaxed structure of TlGaSnHg2, as listed in Alexandria.

Unit cell a=5.269 b=5.269 c=5.517 alpha=90.00 beta=90.00 gamma=90.00
Space group P4/mmm (No. 123)
Asymmetric unit:
Tl: 0.000 0.000 0.000 [1 per cell]
Ga: 0.500 0.500 0.500 [1 per cell]
Sn: 0.500 0.500 0.000 [1 per cell]
Hg: 0.000 0.500 0.500 [2 per cell]

Results
total magnetization	0.000	μB/atom
DOS(E_F)	0.42	states/eV per atom
energy	-1.830	eV/atom
formation enthalpy at 0 K	0.17	eV/atom

=====

[8]
First-principles (GGA-PBE) data for a relaxed structure of Pm12Dy6Ho, as listed in Alexandria.

Unit cell a=14.7995 b=14.7995 c=10.4397 alpha=90.00 beta=90.00 gamma=120.00
Space group R-3 (No. 148, hexagonal axes)
Asymmetric unit:
Pm: 0.0528 0.7998 0.0785 [18 per cell]
Pm: 0.0652 0.8370 0.4198 [18 per cell]
Dy: 0.0500 0.8386 0.7591 [18 per cell]
Ho: 0.0000 0.0000 0.0000 [3 per cell]

Results
total magnetization	0.000	μB/atom
E above lowest polymorph	1.922	eV per formula unit
DOS(E_F)	1.56	states/eV per atom
energy	-4.456	eV/atom
formation enthalpy at 0 K	0.24	eV/atom

=====

[9]
First-principles (GGA-PBE) data for a relaxed structure of TbLuNi2, as listed in Alexandria.

Unit cell a=6.697 b=6.697 c=6.697 alpha=90.00 beta=90.00 gamma=90.00
Space group Fm-3m (No. 225)
Asymmetric unit:
Tb: 0.000 0.000 0.000 [4 per cell]
Lu: 0.000 0.000 0.500 [4 per cell]
Ni: 0.250 0.250 0.250 [8 per cell]

Results
total magnetization	0.000	μB/atom
E above lowest polymorph	0.000	eV per formula unit
DOS(E_F)	1.03	states/eV per atom
energy	-5.601	eV/atom
formation enthalpy at 0 K	-0.42	eV/atom

=====

[10]
First-principles (GGA-PBE) data for a relaxed structure of CsSiAg2Pb, as listed in Alexandria.

Unit cell a=5.099 b=5.099 c=5.796 alpha=90.00 beta=90.00 gamma=90.00
Space group P4/mmm (No. 123)
Asymmetric unit:
Cs: 0.000 0.000 0.000 [1 per cell]
Si: 0.500 0.500 0.500 [1 per cell]
Ag: 0.000 0.500 0.500 [2 per cell]
Pb: 0.500 0.500 0.000 [1 per cell]

Results
total magnetization	0.000	μB/atom
uncorrected formation energy	0.251	eV/atom
DOS(E_F)	0.50	states/eV per atom
energy	-2.886	eV/atom

=====

[11]
First-principles (GGA-PBE) data for a relaxed structure of ZnInFeW2, as listed in Alexandria.

Unit cell a=4.496 b=4.496 c=4.545 alpha=90.00 beta=90.00 gamma=90.00
Space group P4/mmm (No. 123)
Asymmetric unit:
Zn: 0.000 0.000 0.000 [1 per cell]
In: 0.500 0.500 0.000 [1 per cell]
Fe: 0.000 0.000 0.500 [1 per cell]
W: 0.000 0.500 0.500 [2 per cell]

Results
total magnetization	0.000	μB/atom
DOS(E_F)	1.14	states/eV per atom
energy	-6.577	eV/atom
formation enthalpy at 0 K	1.10	eV/atom

=====

[12]
First-principles (GGA-PBE) data for a relaxed structure of Tl2H6IrRh, as listed in Alexandria.

Unit cell a=7.469 b=7.496 c=5.264 alpha=90.00 beta=134.66 gamma=90.00
Space group C2/m (No. 12)
Asymmetric unit:
Tl: 0.000 0.250 0.000 [4 per cell]
H: 0.000 0.242 0.500 [4 per cell]
H: 0.242 0.000 0.500 [4 per cell]
H: 0.242 0.000 0.984 [4 per cell]
Ir: 0.000 0.000 0.500 [2 per cell]
Rh: 0.000 0.500 0.500 [2 per cell]

Results
total magnetization	0.000	μB/atom
DOS(E_F)	0.38	states/eV per atom
energy	-3.904	eV/atom

=====

[13]
First-principles (GGA-PBE) data for a relaxed structure of MnRu5, as listed in Alexandria.

Unit cell a=5.0253 b=5.0253 c=4.4196 alpha=90.00 beta=90.00 gamma=120.00
Space group P6/mmm (No. 191)
Asymmetric unit:
Mn: 0.0000 0.0000 0.0000 [1 per cell]
Ru: 0.0000 0.5000 0.5000 [3 per cell]
Ru: 0.3333 0.6667 0.0000 [2 per cell]

Results
total magnetization	0.183	μB/atom
DOS(E_F)	1.65	states/eV per atom
energy	-8.575	eV/atom
formation enthalpy at 0 K	0.68	eV/atom

=====

[14]
First-principles (GGA-PBE) data for a relaxed structure of NdAlI, as listed in Alexandria.

Unit cell a=7.569 b=4.370 c=12.731 alpha=90.00 beta=101.63 gamma=90.00
Space group C2/m (No. 12)
Asymmetric unit:
Nd: 0.058 0.000 0.172 [4 per cell]
Al: 0.162 0.500 0.986 [4 per cell]
I: 0.220 0.000 0.666 [4 per cell]

Results
total magnetization	0.000	μB/atom
uncorrected formation energy	-0.946	eV/atom
DOS(E_F)	0.33	states/eV per atom
energy	-4.299	eV/atom

=====

[15]
First-principles (GGA-PBE) data for a relaxed structure of Ta3SiW, as listed in Alexandria.

Unit cell a=4.588 b=4.588 c=4.588 alpha=90.00 beta=90.00 gamma=90.00
Space group Pm-3m (No. 221)
Asymmetric unit:
Ta: 0.000 0.000 0.500 [3 per cell]
Si: 0.000 0.000 0.000 [1 per cell]
W: 0.500 0.500 0.500 [1 per cell]

Results
total magnetization	0.000	μB/atom
uncorrected formation energy	0.999	eV/atom
E above lowest polymorph	0.000	eV per formula unit
DOS(E_F)	0.87	states/eV per atom
energy	-9.788	eV/atom

=====

[16]
First-principles (GGA-PBE) data for a relaxed structure of SmY2Er4, as listed in Alexandria.

Unit cell a=16.630 b=3.510 c=8.718 alpha=90.00 beta=119.57 gamma=90.00
Space group C2/m (No. 12)
Asymmetric unit:
Sm: 0.000 0.000 0.000 [2 per cell]
Y: 0.070 0.000 0.430 [4 per cell]
Er: 0.143 0.500 0.837 [4 per cell]
Er: 0.205 0.500 0.293 [4 per cell]

Results
total magnetization	0.000	μB/atom
E above lowest polymorph	0.000	eV per formula unit
DOS(E_F)	1.57	states/eV per atom
energy	-5.086	eV/atom
formation enthalpy at 0 K	0.04	eV/atom

=====

[17]
First-principles (GGA-PBE) data for a relaxed structure of Sm6Y4Ho, as listed in Alexandria.

Unit cell a=5.824 b=9.713 c=25.805 alpha=90.00 beta=90.00 gamma=90.00
Space group Cmcm (No. 63)
Asymmetric unit:
Sm: 0.000 0.000 0.000 [4 per cell]
Sm: 0.000 0.045 0.250 [4 per cell]
Sm: 0.000 0.302 0.603 [8 per cell]
Sm: 0.000 0.372 0.183 [8 per cell]
Y: 0.000 0.038 0.123 [8 per cell]
Y: 0.000 0.349 0.044 [8 per cell]
Ho: 0.000 0.292 0.750 [4 per cell]

Results
total magnetization	0.000	μB/atom
E above lowest polymorph	0.000	eV per formula unit
DOS(E_F)	1.79	states/eV per atom
energy	-5.221	eV/atom
formation enthalpy at 0 K	0.12	eV/atom

=====

[18]
First-principles (GGA-PBE) data for a relaxed structure of LaSe2S, as listed in Alexandria.

Unit cell a=4.033 b=4.033 c=25.033 alpha=90.00 beta=90.00 gamma=90.00
Space group I-42d (No. 122)
Asymmetric unit:
La: 0.000 0.000 0.000 [4 per cell]
Se: 0.233 0.250 0.125 [8 per cell]
S: 0.000 0.000 0.500 [4 per cell]

Results
total magnetization	0.000	μB/atom
uncorrected formation energy	-1.089	eV/atom
DOS(E_F)	0.50	states/eV per atom
energy	-5.095	eV/atom

=====

[19]
First-principles (GGA-PBE) data for a relaxed structure of ThFe4Ag, as listed in Alexandria.

Unit cell a=7.237 b=7.237 c=7.237 alpha=90.00 beta=90.00 gamma=90.00
Space group F-43m (No. 216)
Asymmetric unit:
Th: 0.000 0.000 0.000 [4 per cell]
Fe: 0.124 0.124 0.624 [16 per cell]
Ag: 0.250 0.250 0.250 [4 per cell]

Results
total magnetization	1.469	μB/atom
DOS(E_F)	0.85	states/eV per atom
energy	-7.295	eV/atom
formation enthalpy at 0 K	0.06	eV/atom

=====

[20]
First-principles (GGA-PBE) data for a relaxed structure of TbSc12Tl3, as listed in Alexandria.

Unit cell a=4.549 b=4.549 c=18.559 alpha=90.00 beta=90.00 gamma=90.00
Space group P4/mmm (No. 123)
Asymmetric unit:
Tb: 0.000 0.000 0.000 [1 per cell]
Sc: 0.000 0.500 0.132 [4 per cell]
Sc: 0.000 0.500 0.378 [4 per cell]
Sc: 0.500 0.500 0.000 [1 per cell]
Sc: 0.500 0.500 0.257 [2 per cell]
Sc: 0.500 0.500 0.500 [1 per cell]
Tl: 0.000 0.000 0.257 [2 per cell]
Tl: 0.000 0.000 0.500 [1 per cell]

Results
total magnetization	0.263	μB/atom
DOS(E_F)	1.46	states/eV per atom
energy	-5.607	eV/atom
formation enthalpy at 0 K	-0.12	eV/atom